Entry 1:
Here is a geometry-optimized ScCo3B2 structure from Alexandria via LeMat-Bulk. Energies are from PBE.

Lattice parameters (Å, degrees): 3.2750 8.0995 8.0995 120.00 90.00 90.00
Closest atoms and distances in Å follow each position.
Fractional coordinates of all 18 atoms:
Sc  0.5000  0.0000  0.0000  6 B 2.67, 12 Co 2.83
Sc  0.0000  0.6667  0.3333  6 B 2.59, 6 Co 2.85
Sc  0.0000  0.3333  0.6667  6 B 2.59, 6 Co 2.85
Co  0.5000  0.5000  0.5000  4 B 2.19, 4 Co 2.39
Co  0.5000  0.0000  0.5000  4 B 2.19, 4 Co 2.39
Co  0.5000  0.5000  0.0000  4 B 2.19, 4 Co 2.39
Co  0.0000  0.7144  0.7144  4 B 2.11, 2 Co 2.31
Co  0.0000  0.0000  0.2856  4 B 2.11, 2 Co 2.31
Co  0.0000  0.2856  0.0000  4 B 2.11, 2 Co 2.31
Co  0.0000  0.2856  0.2856  4 B 2.11, 2 Co 2.31
Co  0.0000  0.0000  0.7144  4 B 2.11, 2 Co 2.31
Co  0.0000  0.7144  0.0000  4 B 2.11, 2 Co 2.31
B  0.5000  0.8095  0.1905  6 Co 2.11-2.19
B  0.5000  0.3811  0.1905  6 Co 2.11-2.19
B  0.5000  0.8095  0.6189  6 Co 2.11-2.19
B  0.5000  0.1905  0.8095  6 Co 2.11-2.19
B  0.5000  0.6189  0.8095  6 Co 2.11-2.19
B  0.5000  0.1905  0.3811  6 Co 2.11-2.19

SG   P6/mmm, No. 191
Polymorph energy (0 for the lowest one)   161 meV per atom
Formation energy   -381.5 meV per atom

Entry 2:
Here is a geometry-optimized Sc2CoB structure from Alexandria via LeMat-Bulk. Energies are from PBE.

Lattice parameters (Å, degrees): 7.9688 7.9688 7.9688 22.56 22.56 22.56
Closest atoms and distances in Å follow each position.
Fractional coordinates of all 4 atoms:
Sc  0.9006  0.9006  0.9006  1 Co 2.32, 3 B 2.39
Sc  0.0994  0.0994  0.0994  1 Co 2.32, 3 B 2.39
B  0.5000  0.5000  0.5000  6 Sc 2.39
Co  0.0000  0.0000  0.0000  2 Sc 2.32

SG   R-3m, No. 166
Formation energy   378.5 meV per atom

| no. | E_tot (eV/atom) |
| --- | --- |
| 1 | -7.22 |
| 2 | -6.23 |